Record 1
Here is a relaxed structure of Pm2Pr4Tl from the Alexandria database. Energies are from GGA-PBE.

Lattice parameters (Å, degrees): 8.713 8.713 8.848 116.40 116.40 23.98
Sites, in units of the cell vectors:
Pm 0.217 0.217 0.140
Pm 0.783 0.783 0.860
Pr 0.080 0.080 0.707
Pr 0.365 0.365 0.600
Pr 0.635 0.635 0.400
Pr 0.920 0.920 0.293
Tl 0.000 0.000 0.000

DFT formation energy: -9 meV/atom

Record 2
Here is a relaxed structure of KInHg2Ge from the Alexandria database. Energies are from GGA-PBE.

Lattice parameters (Å, degrees): 5.662 5.662 5.483 90.00 90.00 90.00
Sites, in units of the cell vectors:
K 0.000 0.000 0.000
In 0.500 0.500 0.000
Hg 0.000 0.500 0.500
Hg 0.500 0.000 0.500
Ge 0.500 0.500 0.500

DFT formation energy: 48 meV/atom

| no. | N(E_F) (states/eV per atom) |
| --- | --- |
| 1 | 1.19 |
| 2 | 0.61 |